{"formula": "La2Hf2As", "functional": "PBE", "state": "relaxed", "e_form_ev_per_atom": -0.208, "magmom_total_mub_per_fu": 0.0, "relative_energy_mev_per_atom": 0, "lattice_angstrom": [[7.117, 0.000, 0.000], [0.000, 7.117, 0.000], [0.000, 0.000, 5.318]], "species": ["La", "La", "La", "La", "Hf", "Hf", "Hf", "Hf", "As", "As"], "fractional_positions": [[0.157, 0.343, 0.000], [0.343, 0.843, 0.000], [0.657, 0.157, 0.000], [0.843, 0.657, 0.000], [0.151, 0.651, 0.500], [0.349, 0.151, 0.500], [0.651, 0.849, 0.500], [0.849, 0.349, 0.500], [0.000, 0.000, 0.500], [0.500, 0.500, 0.500]]}

{"formula": "La2HfAs4", "functional": "PBE", "state": "relaxed", "e_form_ev_per_atom": -0.914, "magmom_total_mub_per_fu": 0.0, "lattice_angstrom": [[5.110, 0.000, 0.000], [0.000, 5.110, 0.000], [0.000, 0.000, 14.969]], "species": ["La", "La", "La", "La", "Hf", "Hf", "As", "As", "As", "As", "As", "As", "As", "As"], "fractional_positions": [[0.000, 0.000, 0.127], [0.000, 0.000, 0.873], [0.500, 0.500, 0.373], [0.500, 0.500, 0.627], [0.000, 0.000, 0.500], [0.500, 0.500, 0.000], [0.000, 0.000, 0.322], [0.000, 0.000, 0.678], [0.000, 0.500, 0.000], [0.000, 0.500, 0.500], [0.500, 0.000, 0.000], [0.500, 0.000, 0.500], [0.500, 0.500, 0.178], [0.500, 0.500, 0.822]]}

{"formula": "La2Hf2As", "functional": "PBE", "state": "relaxed", "e_form_ev_per_atom": 0.662, "magmom_total_mub_per_fu": 0.0, "relative_energy_mev_per_atom": 870, "lattice_angstrom": [[4.045, 0.000, 0.000], [0.000, 4.045, 0.000], [0.000, 0.000, 16.037]], "species": ["La", "La", "La", "La", "Hf", "Hf", "Hf", "Hf", "As", "As"], "fractional_positions": [[0.000, 0.500, 0.250], [0.000, 0.500, 0.750], [0.500, 0.000, 0.250], [0.500, 0.000, 0.750], [0.000, 0.000, 0.080], [0.000, 0.000, 0.920], [0.500, 0.500, 0.420], [0.500, 0.500, 0.580], [0.000, 0.000, 0.500], [0.500, 0.500, 0.000]]}

{"formula": "La2HfAs3", "functional": "PBE", "state": "relaxed", "e_form_ev_per_atom": -1.257, "magmom_total_mub_per_fu": 0.0, "lattice_angstrom": [[4.212, 0.000, 0.000], [0.000, 4.212, 0.000], [0.000, 0.000, 17.615]], "species": ["La", "La", "La", "La", "Hf", "Hf", "As", "As", "As", "As", "As", "As"], "fractional_positions": [[0.000, 0.000, 0.166], [0.000, 0.000, 0.834], [0.500, 0.500, 0.334], [0.500, 0.500, 0.666], [0.000, 0.000, 0.500], [0.500, 0.500, 0.000], [0.000, 0.000, 0.000], [0.000, 0.000, 0.345], [0.000, 0.000, 0.655], [0.500, 0.500, 0.155], [0.500, 0.500, 0.500], [0.500, 0.500, 0.845]]}

{"formula": "La2HfAs2", "functional": "PBE", "state": "relaxed", "e_form_ev_per_atom": -0.994, "magmom_total_mub_per_fu": 0.0, "lattice_angstrom": [[7.722, 0.000, 0.000], [0.000, 7.722, 0.000], [0.000, 0.000, 4.257]], "species": ["La", "La", "La", "La", "Hf", "Hf", "As", "As", "As", "As"], "fractional_positions": [[0.152, 0.348, 0.000], [0.348, 0.848, 0.000], [0.652, 0.152, 0.000], [0.848, 0.652, 0.000], [0.000, 0.000, 0.500], [0.500, 0.500, 0.500], [0.160, 0.660, 0.500], [0.340, 0.160, 0.500], [0.660, 0.840, 0.500], [0.840, 0.340, 0.500]]}

{"formula": "LaHfAs3", "functional": "PBE", "state": "relaxed", "e_form_ev_per_atom": 0.891, "magmom_total_mub_per_fu": 0.0, "relative_energy_mev_per_atom": 1503, "lattice_angstrom": [[5.397, 0.000, 0.000], [0.000, 5.397, 0.000], [0.000, 0.000, 5.397]], "species": ["La", "Hf", "As", "As", "As"], "fractional_positions": [[0.000, 0.000, 0.000], [0.500, 0.500, 0.500], [0.000, 0.000, 0.500], [0.000, 0.500, 0.000], [0.500, 0.000, 0.000]]}

Copy entry 5 word for word.
{"formula": "La2HfAs2", "functional": "PBE", "state": "relaxed", "e_form_ev_per_atom": -0.994, "magmom_total_mub_per_fu": 0.0, "lattice_angstrom": [[7.722, 0.000, 0.000], [0.000, 7.722, 0.000], [0.000, 0.000, 4.257]], "species": ["La", "La", "La", "La", "Hf", "Hf", "As", "As", "As", "As"], "fractional_positions": [[0.152, 0.348, 0.000], [0.348, 0.848, 0.000], [0.652, 0.152, 0.000], [0.848, 0.652, 0.000], [0.000, 0.000, 0.500], [0.500, 0.500, 0.500], [0.160, 0.660, 0.500], [0.340, 0.160, 0.500], [0.660, 0.840, 0.500], [0.840, 0.340, 0.500]]}